The following is a PBE calculation of a relaxed Sr2SnF crystal, from Alexandria via LeMat-Bulk.

Values from the calculation:
- distance to the lowest polymorph of the same formula (meV per atom) = 447
- uncorrected formation energy (meV per atom) = -1266
- DOS at the Fermi energy (states/eV/cell) = 4.85

Unit cell a=5.550 b=5.550 c=5.550 alpha=60.00 beta=60.00 gamma=60.00
Each line ends with the local moment (μB).
Atoms (fractional coordinates):
F  0.000  0.000  0.000  0.03
Sr  0.250  0.250  0.250  0.05
Sr  0.750  0.750  0.750  0.05
Sn  0.500  0.500  0.500  0.33

The following is a PBE calculation of a relaxed Sr2SnF crystal, from Alexandria via LeMat-Bulk.

Values from the calculation:
- distance to the lowest polymorph of the same formula (meV per atom) = 320
- uncorrected formation energy (meV per atom) = -1392
- DOS at the Fermi energy (states/eV/cell) = 1.20

Unit cell a=3.707 b=3.707 c=8.118 alpha=90.00 beta=90.00 gamma=90.00
Atoms (fractional coordinates):
Sr  0.000  0.000  0.763
Sr  0.000  0.000  0.237
F  0.500  0.500  0.000
Sn  0.500  0.500  0.500

The following is a PBE calculation of a relaxed Sr2SnF crystal, from Alexandria via LeMat-Bulk.

Values from the calculation:
- distance to the lowest polymorph of the same formula (meV per atom) = 95
- uncorrected formation energy (meV per atom) = -1618
- DOS at the Fermi energy (states/eV/cell) = 5.11

Unit cell a=7.678 b=7.678 c=6.836 alpha=55.84 beta=55.84 gamma=90.00
Each line ends with the local moment (μB).
Atoms (fractional coordinates):
Sr  0.213  0.625  0.250  0.05
Sr  0.875  0.787  0.750  0.05
Sr  0.375  0.463  0.750  0.05
Sr  0.537  0.125  0.250  0.05
F  0.500  0.500  0.000  0.01
F  0.250  0.750  0.500  0.01
Sn  0.750  0.250  0.500  0.24
Sn  0.000  0.000  0.000  0.24